This record from Alexandria describes a PBEsol-optimized structure of TaTl2Ir. The functional is SCAN.

Properties
Energy relative to the lowest polymorph listed for this composition (meV per atom): 589
Total magnetic moment (μB/f.u.): 0.00
Calculated density (g/cm³): 17.21
Formation energy from the elements (meV/atom): 670

a = 3.084 Å, b = 3.084 Å, c = 27.481 Å
α = 90.00°, β = 90.00°, γ = 120.00°
Element x y z (fractional)
Ta 0.000 0.000 0.000
Ta 0.333 0.667 0.667
Ta 0.667 0.333 0.333
Tl 0.000 0.000 0.246
Tl 0.000 0.000 0.754
Tl 0.333 0.667 0.421
Tl 0.333 0.667 0.913
Tl 0.667 0.333 0.087
Tl 0.667 0.333 0.579
Ir 0.000 0.000 0.500
Ir 0.333 0.667 0.167
Ir 0.667 0.333 0.833